The following is a DFT calculation (PBE-GGA) of a relaxed structure of AcTmN.

Calculated values
E_form (uncorrected) (eV/atom): -0.706
Crystal system: orthorhombic
Relative energy among the computed polymorphs (meV/atom): 121

a b c (Å): 3.4565 7.1755 13.8585
angles (deg): 90.00 90.00 90.00
Element x y z (fractional)
N: 0.2500 0.3971 0.0778
N: 0.7500 0.6029 0.9222
N: 0.7500 0.1029 0.5778
N: 0.2500 0.8971 0.4222
Tm: 0.2500 0.8877 0.5835
Tm: 0.7500 0.1123 0.4165
Tm: 0.7500 0.6123 0.0835
Tm: 0.2500 0.3877 0.9165
Ac: 0.2500 0.3540 0.6266
Ac: 0.7500 0.6460 0.3734
Ac: 0.7500 0.1460 0.1266
Ac: 0.2500 0.8540 0.8734


The following is a DFT calculation (PBE-GGA) of a relaxed structure of AcTmZrN3.

Calculated values
E_form (uncorrected) (eV/atom): -1.423
Crystal system: monoclinic

a b c (Å): 3.5551 6.0756 8.9529
angles (deg): 102.88 90.00 90.00
Element x y z (fractional)
Ac: 0.7500 0.6485 0.6962
Ac: 0.2500 0.3515 0.3038
Tm: 0.2500 0.7672 0.0432
Tm: 0.7500 0.2328 0.9568
Zr: 0.2500 0.1338 0.6455
Zr: 0.7500 0.8662 0.3545
N: 0.2500 0.7823 0.4762
N: 0.7500 0.0357 0.1582
N: 0.7500 0.5631 0.1627
N: 0.7500 0.2177 0.5238
N: 0.2500 0.4369 0.8373
N: 0.2500 0.9643 0.8418


The following is a DFT calculation (PBE-GGA) of a relaxed structure of Ac4UN6.

Calculated values
E_form (uncorrected) (eV/atom): -1.210
Crystal system: trigonal

a b c (Å): 7.4094 7.4094 7.4094
angles (deg): 89.43 89.43 90.57
Element x y z (fractional)
Ac: 0.3958 0.1042 0.2500
Ac: 0.8958 0.2500 0.3958
Ac: 0.2500 0.6042 0.1042
Ac: 0.2500 0.2500 0.7500
Ac: 0.7500 0.7500 0.2500
Ac: 0.7500 0.3958 0.8958
Ac: 0.1042 0.7500 0.6042
Ac: 0.6042 0.8958 0.7500
U: 0.5000 0.5000 0.5000
U: 0.0000 0.0000 0.0000
N: 0.7146 0.0566 0.0742
N: 0.0742 0.2854 0.0566
N: 0.5742 0.4434 0.2146
N: 0.9434 0.0742 0.7146
N: 0.5566 0.2146 0.5742
N: 0.2146 0.4258 0.4434
N: 0.7854 0.5742 0.5566
N: 0.4434 0.7854 0.4258
N: 0.0566 0.9258 0.2854
N: 0.4258 0.5566 0.7854
N: 0.9258 0.7146 0.9434
N: 0.2854 0.9434 0.9258


The following is a DFT calculation (PBE-GGA) of a relaxed structure of Ac3U4N12.

Calculated values
E_form (uncorrected) (eV/atom): -1.095
Crystal system: cubic

a b c (Å): 7.4230 7.4230 7.4230
angles (deg): 109.47 109.47 109.47
Element x y z (fractional)
Ac: 0.5000 0.5000 0.0000
Ac: 0.0000 0.5000 0.5000
Ac: 0.5000 0.0000 0.5000
U: 0.5000 0.5000 0.5000
U: 0.5000 0.0000 0.0000
U: 0.0000 0.0000 0.5000
U: 0.0000 0.5000 0.0000
N: 0.2412 0.7175 0.9587
N: 0.7588 0.2825 0.0413
N: 0.2412 0.2825 0.5237
N: 0.2825 0.0413 0.7588
N: 0.9587 0.2412 0.7175
N: 0.4763 0.7588 0.7175
N: 0.7175 0.4763 0.7588
N: 0.0413 0.7588 0.2825
N: 0.7588 0.7175 0.4763
N: 0.7175 0.9587 0.2412
N: 0.5237 0.2412 0.2825
N: 0.2825 0.5237 0.2412


The following is a DFT calculation (PBE-GGA) of a relaxed structure of AcU7N12.

Calculated values
E_form (uncorrected) (eV/atom): -1.262
Crystal system: cubic

a b c (Å): 7.3118 7.3118 7.3118
angles (deg): 109.47 109.47 109.47
Site moments in Bohr magnetons follow the coordinates.
Element x y z (fractional)
Ac: 0.0000 0.0000 0.0000  0.05
U: 0.5000 0.0000 0.5000  1.60
U: 0.5000 0.5000 0.0000  1.60
U: 0.0000 0.5000 0.5000  1.60
U: 0.0000 0.0000 0.5000  1.08
U: 0.5000 0.0000 0.0000  1.08
U: 0.5000 0.5000 0.5000  1.08
U: 0.0000 0.5000 0.0000  1.08
N: 0.3093 0.1829 0.4922  -0.07
N: 0.3093 0.8171 0.1265  -0.07
N: 0.6907 0.8171 0.5078  -0.07
N: 0.6907 0.1829 0.8735  -0.07
N: 0.4922 0.3093 0.1829  -0.07
N: 0.8735 0.6907 0.1829  -0.07
N: 0.5078 0.6907 0.8171  -0.07
N: 0.1265 0.3093 0.8171  -0.07
N: 0.8171 0.1265 0.3093  -0.07
N: 0.1829 0.8735 0.6907  -0.07
N: 0.1829 0.4922 0.3093  -0.07
N: 0.8171 0.5078 0.6907  -0.07


The following is a DFT calculation (PBE-GGA) of a relaxed structure of Ac2U2N7.

Calculated values
E_form (uncorrected) (eV/atom): -0.848
Crystal system: orthorhombic

a b c (Å): 5.4742 5.8433 5.4742
angles (deg): 90.00 96.19 90.00
Element x y z (fractional)
Ac: 0.7536 0.5000 0.7536
Ac: 0.2464 0.5000 0.2464
U: 0.7266 0.0000 0.2734
U: 0.2734 0.0000 0.7266
N: 0.0000 0.2228 0.5000
N: 0.5000 0.7772 0.0000
N: 0.0000 0.7772 0.5000
N: 0.5000 0.2228 0.0000
N: 0.0000 0.0000 0.0000
N: 0.5000 0.7812 0.5000
N: 0.5000 0.2188 0.5000


The following is a DFT calculation (PBE-GGA) of a relaxed structure of AcUN.

Calculated values
E_form (uncorrected) (eV/atom): -0.277
Crystal system: tetragonal
Relative energy among the computed polymorphs (meV/atom): 139

a b c (Å): 3.3320 3.3320 7.3158
angles (deg): 103.16 103.16 90.00
Site moments in Bohr magnetons follow the coordinates.
Element x y z (fractional)
Ac: 0.3016 0.3016 0.6032  -0.08
U: 0.5923 0.5923 0.1847  1.78
N: 0.1060 0.1060 0.2121  -0.12


The following is a DFT calculation (PBE-GGA) of a relaxed structure of Ac2UN3.

Calculated values
E_form (uncorrected) (eV/atom): -1.150
Crystal system: monoclinic
Relative energy among the computed polymorphs (meV/atom): 0

a b c (Å): 5.3594 7.2146 6.5431
angles (deg): 106.10 114.18 90.00
Site moments in Bohr magnetons follow the coordinates.
Element x y z (fractional)
Ac: 0.6687 0.5835 0.3331  0.00
Ac: 0.6644 0.0835 0.3331  0.00
Ac: 0.3356 0.9165 0.6669  0.00
Ac: 0.3313 0.4165 0.6669  0.00
U: 0.9899 0.7500 0.0000  0.59
U: 0.0101 0.2500 0.0000  0.59
N: 0.4380 0.2500 0.0000  -0.01
N: 0.5620 0.7500 0.0000  -0.01
N: 0.1213 0.0618 0.2484  -0.02
N: 0.8729 0.4382 0.7516  -0.02
N: 0.1271 0.5618 0.2484  -0.02
N: 0.8787 0.9382 0.7516  -0.02


The following is a DFT calculation (PBE-GGA) of a relaxed structure of Ac2UN3.

Calculated values
E_form (uncorrected) (eV/atom): -1.105
Crystal system: monoclinic
Relative energy among the computed polymorphs (meV/atom): 46

a b c (Å): 6.3449 6.4828 6.4828
angles (deg): 118.80 99.71 99.71
Site moments in Bohr magnetons follow the coordinates.
Element x y z (fractional)
Ac: 0.2500 0.9141 0.0859  0.04
Ac: 0.2500 0.2464 0.7536  0.03
Ac: 0.7500 0.0859 0.9141  0.04
Ac: 0.7500 0.7536 0.2464  0.03
U: 0.2500 0.5792 0.4208  1.20
U: 0.7500 0.4208 0.5792  1.20
N: 0.0034 0.2483 0.3787  -0.05
N: 0.5034 0.3787 0.2483  -0.05
N: 0.0000 0.5000 0.0000  -0.04
N: 0.9966 0.7517 0.6213  -0.05
N: 0.5000 0.0000 0.5000  -0.04
N: 0.4966 0.6213 0.7517  -0.05


The following is a DFT calculation (PBE-GGA) of a relaxed structure of AcUN2.

Calculated values
E_form (uncorrected) (eV/atom): -1.213
Crystal system: trigonal
Relative energy among the computed polymorphs (meV/atom): 0

a b c (Å): 3.6010 3.6010 6.4284
angles (deg): 73.73 73.73 60.00
Site moments in Bohr magnetons follow the coordinates.
Element x y z (fractional)
Ac: 0.5000 0.5000 0.5000  0.00
U: 0.0000 0.0000 0.0000  1.14
N: 0.2722 0.2722 0.1835  -0.05
N: 0.7278 0.7278 0.8165  -0.05


The following is a DFT calculation (PBE-GGA) of a relaxed structure of Ac3UN4.

Calculated values
E_form (uncorrected) (eV/atom): -1.098
Crystal system: orthorhombic
Relative energy among the computed polymorphs (meV/atom): 69

a b c (Å): 5.7039 7.2399 8.6728
angles (deg): 90.00 90.00 90.00
Site moments in Bohr magnetons follow the coordinates.
Element x y z (fractional)
Ac: 0.5512 0.8477 0.0000  0.05
Ac: 0.0531 0.6718 0.2456  0.07
Ac: 0.5531 0.3282 0.2544  0.07
Ac: 0.0512 0.1523 0.5000  0.05
Ac: 0.5531 0.3282 0.7456  0.07
Ac: 0.0531 0.6718 0.7544  0.07
U: 0.0403 0.1892 0.0000  1.39
U: 0.5403 0.8108 0.5000  1.39
N: 0.0552 0.8848 0.0000  -0.03
N: 0.6654 0.1825 0.0000  -0.02
N: 0.0485 0.3101 0.2313  -0.05
N: 0.5485 0.6899 0.2687  -0.05
N: 0.1654 0.8175 0.5000  -0.02
N: 0.5552 0.1152 0.5000  -0.03
N: 0.5485 0.6899 0.7313  -0.05
N: 0.0485 0.3101 0.7687  -0.05


The following is a DFT calculation (PBE-GGA) of a relaxed structure of AcUN2.

Calculated values
E_form (uncorrected) (eV/atom): -1.026
Crystal system: trigonal
Relative energy among the computed polymorphs (meV/atom): 187

a b c (Å): 3.5496 3.5496 6.7757
angles (deg): 74.81 74.81 60.00
Site moments in Bohr magnetons follow the coordinates.
Element x y z (fractional)
Ac: 0.4923 0.4923 0.5230  0.00
U: 0.6680 0.6680 0.9959  1.41
N: 0.0640 0.0640 0.8079  -0.05
N: 0.2756 0.2756 0.1733  -0.07


Volume list, top to bottom, in Å³/cell: 343.7, 188.5, 406.7, 314.9, 300.9, 174.1, 76.9, 219.9, 220.5, 68.3, 358.2, 70.5
DFT total energy list, top to bottom, in eV per cell: -76.09, -101.29, -181.96, -178.18, -208.27, -98.40, -24.55, -102.76, -102.22, -36.90, -131.39, -36.15